Record 1
Here is YZr2Ru after structural relaxation from Alexandria via LeMat-Bulk. Energies are from PBE.

Properties
ΔE to the lowest computed polymorph in eV/atom: 0.3686
Space-group type: C2/m, No. 12
Calculated formation energy in kJ/mol of formula units: 39

a b c (Å): 5.6912 5.6912 3.2205
angles (deg): 80.36 80.36 120.53
Fractional positions:
Zr: 0.5000 0.5000 0.0000
Zr: 0.0000 0.0000 0.0000
Ru: 0.5000 0.0000 0.5000
Y: 0.0000 0.5000 0.5000

Record 2
Here is TeWSe2 after structural relaxation from Alexandria via LeMat-Bulk. Energies are from PBE.

Properties
Raw formation energy in meV per atom: 221
Space-group type: P4mm, No. 99

a b c (Å): 3.1066 3.1066 9.6073
angles (deg): 90.00 90.00 90.00
Fractional positions:
Se: 0.0000 0.0000 0.9191
Se: 0.5000 0.5000 0.2490
Te: 0.0000 0.0000 0.5698
W: 0.5000 0.5000 0.7621

Record 3
Here is Na3In7Au2 after structural relaxation from Alexandria via LeMat-Bulk. Energies are from PBE.

Properties
Space-group type: R-3m, No. 166
Calculated formation energy in kJ/mol of formula units: -155

a b c (Å): 6.3104 6.3104 10.0419
angles (deg): 71.69 71.69 60.00
Fractional positions:
In: 0.4152 0.9302 0.2393
In: 0.4152 0.4152 0.2393
In: 0.5848 0.0698 0.7607
In: 0.5848 0.5848 0.7607
In: 0.0698 0.5848 0.7607
In: 0.9302 0.4152 0.2393
In: 0.5000 0.5000 0.5000
Na: 0.8571 0.8571 0.4287
Na: 0.1429 0.1429 0.5713
Na: 0.0000 0.0000 0.0000
Au: 0.6637 0.6637 0.0090
Au: 0.3363 0.3363 0.9910

Record 4
Here is IrWSe4 after structural relaxation from Alexandria via LeMat-Bulk. Energies are from PBE.

Properties
ΔE to the lowest computed polymorph in eV/atom: 1.9522
Raw formation energy in meV per atom: 1594
Space-group type: F-43m, No. 216

a b c (Å): 5.4042 5.4042 5.4042
angles (deg): 60.00 60.00 60.00
Fractional positions:
Se: 0.3742 0.8775 0.3742
Se: 0.8775 0.3742 0.3742
Se: 0.3742 0.3742 0.3742
Se: 0.3742 0.3742 0.8775
Ir: 0.0000 0.0000 0.0000
W: 0.7500 0.7500 0.7500

Number 1: density 7.31 Mg/m³. Number 2: density 8.41 Mg/m³. Number 3: density 6.52 Mg/m³. Number 4: density 10.29 Mg/m³.